Entry 1:
A plane-wave DFT calculation with GGA-PBE was carried out for crystalline CeThAlHg at its relaxed geometry.

Computed properties:
The raw total energy is -4.55 eV/atom. As for the magnetic moment: 0.21 μB/atom. The value obtained for the energy relative to the elements is -0.199 eV per atom. Its space-group type is No. 216.

a b c (Å): 5.3391 5.3391 5.3391
angles (deg): 60.00 60.00 60.00
Fractional coordinates of all 4 atoms:
Ce  0.0000  0.0000  0.0000
Hg  0.7500  0.7500  0.7500
Th  0.5000  0.5000  0.5000
Al  0.2500  0.2500  0.2500

Entry 2:
A plane-wave DFT calculation with GGA-PBE was carried out for crystalline PmPbF at its relaxed geometry.

Computed properties:
The raw total energy is -5.16 eV/atom. The value obtained for the energy relative to the elements, uncorrected is -1.715 eV/atom. As for the magnetic moment: 0.00 μB/atom. Its space-group type is No. 107.

a b c (Å): 3.4110 3.4110 6.5747
angles (deg): 105.03 105.03 90.00
Fractional coordinates of all 3 atoms:
Pb  0.0061  0.0061  0.0123
Pm  0.7225  0.7225  0.4450
F  0.2713  0.2713  0.5427

Entry 3:
A plane-wave DFT calculation with GGA-PBE was carried out for crystalline NbCoPdRh at its relaxed geometry.

Computed properties:
The raw total energy is -7.74 eV/atom. As for the magnetic moment: 0.19 μB/atom. The value obtained for the energy relative to the elements is -0.311 eV per atom. Its space-group type is No. 47.

a b c (Å): 3.7632 3.8845 3.9219
angles (deg): 90.00 90.00 90.00
Fractional coordinates of all 4 atoms:
Nb  0.0000  0.5000  0.5000
Co  0.5000  0.5000  0.0000
Pd  0.0000  0.0000  0.0000
Rh  0.5000  0.0000  0.5000

Entry 4:
A plane-wave DFT calculation with GGA-PBE was carried out for crystalline SiSbAu at its relaxed geometry.

Computed properties:
The raw total energy is -3.98 eV/atom. The value obtained for the energy relative to the elements, uncorrected is 0.295 eV/atom. As for the magnetic moment: 0.00 μB/atom. Its space-group type is No. 107.

a b c (Å): 6.3392 6.3392 6.3392
angles (deg): 150.36 150.40 42.38
Fractional coordinates of all 3 atoms:
Au  0.0254  0.0254  0.0000
Sb  0.3318  0.3318  0.0000
Si  0.6428  0.6428  0.0000

Entry 5:
A plane-wave DFT calculation with GGA-PBE was carried out for crystalline KCo2Si at its relaxed geometry.

Computed properties:
The raw total energy is -5.19 eV/atom. The value obtained for the energy relative to the elements, uncorrected is -0.004 eV/atom. As for the magnetic moment: 0.54 μB/atom. Its space-group type is No. 12.

a b c (Å): 4.0415 4.0415 6.4204
angles (deg): 71.91 71.91 60.00
Fractional coordinates of all 4 atoms:
Co  0.0763  0.0763  0.7714
Co  0.4237  0.4237  0.7286
K  0.2500  0.2500  0.2500
Si  0.7500  0.7500  0.7500

Entry 6:
A plane-wave DFT calculation with GGA-PBE was carried out for crystalline Ca3CrCu at its relaxed geometry.

Computed properties:
The raw total energy is -3.53 eV/atom. As for the magnetic moment: 0.96 μB/atom. The value obtained for the energy relative to the elements is 0.414 eV per atom. Its space-group type is No. 221.

a b c (Å): 5.5038 5.5038 5.5038
angles (deg): 90.00 90.00 90.00
Fractional coordinates of all 5 atoms:
Cr  0.5000  0.5000  0.5000
Ca  0.0000  0.5000  0.0000
Ca  0.0000  0.0000  0.5000
Ca  0.5000  0.0000  0.0000
Cu  0.0000  0.0000  0.0000

Entry 7:
A plane-wave DFT calculation with GGA-PBE was carried out for crystalline LiFeSb2 at its relaxed geometry.

Computed properties:
The raw total energy is -4.54 eV/atom. The value obtained for the energy relative to the elements, uncorrected is 0.112 eV/atom. As for the magnetic moment: 0.68 μB/atom. Its space-group type is No. 119.

a b c (Å): 5.6610 5.6610 5.6610
angles (deg): 138.71 138.71 59.81
Fractional coordinates of all 4 atoms:
Fe  0.5000  0.5000  0.0000
Li  0.7500  0.2500  0.5000
Sb  0.0000  0.0000  0.0000
Sb  0.2500  0.7500  0.5000

Entry 8:
A plane-wave DFT calculation with GGA-PBE was carried out for crystalline Y2NiW at its relaxed geometry.

Computed properties:
The raw total energy is -7.72 eV/atom. As for the magnetic moment: 0.00 μB/atom. The value obtained for the energy relative to the elements is 0.191 eV per atom. Its space-group type is No. 99.

a b c (Å): 3.1966 3.1966 8.4736
angles (deg): 90.00 90.00 90.03
Fractional coordinates of all 4 atoms:
Ni  0.0000  0.0000  0.5502
W  0.5000  0.5000  0.6922
Y  0.0000  0.0000  0.9419
Y  0.5000  0.5000  0.3157

Entry 9:
A plane-wave DFT calculation with GGA-PBE was carried out for crystalline Zr2Be2SiRh5 at its relaxed geometry.

Computed properties:
The raw total energy is -7.54 eV/atom. The value obtained for the energy relative to the elements, uncorrected is -0.864 eV/atom. As for the magnetic moment: 0.00 μB/atom. Its space-group type is No. 127.

a b c (Å): 3.2057 9.3192 9.3192
angles (deg): 90.00 90.00 90.00
Fractional coordinates of all 20 atoms:
Zr  0.0000  0.6747  0.1747
Zr  0.0000  0.3253  0.8253
Zr  0.0000  0.1747  0.3253
Zr  0.0000  0.8253  0.6747
Be  0.0000  0.1227  0.6227
Be  0.0000  0.8773  0.3773
Be  0.0000  0.6227  0.8773
Be  0.0000  0.3773  0.1227
Si  0.0000  0.0000  0.0000
Si  0.0000  0.5000  0.5000
Rh  0.5000  0.2060  0.0679
Rh  0.5000  0.7940  0.9321
Rh  0.5000  0.0679  0.7940
Rh  0.5000  0.7060  0.4321
Rh  0.5000  0.9321  0.2060
Rh  0.5000  0.2940  0.5679
Rh  0.5000  0.5679  0.7060
Rh  0.5000  0.4321  0.2940
Rh  0.5000  0.5000  0.0000
Rh  0.5000  0.0000  0.5000

Entry 10:
A plane-wave DFT calculation with GGA-PBE was carried out for crystalline Tm2TaAl2Ru5 at its relaxed geometry.

Computed properties:
The raw total energy is -7.96 eV/atom. As for the magnetic moment: 0.00 μB/atom. The value obtained for the energy relative to the elements is -0.498 eV per atom. Its space-group type is No. 127.

a b c (Å): 3.2879 10.0710 10.0710
angles (deg): 90.00 90.00 90.00
Fractional coordinates of all 20 atoms:
Tm  0.0000  0.6716  0.1716
Tm  0.0000  0.3284  0.8284
Tm  0.0000  0.1716  0.3284
Tm  0.0000  0.8284  0.6716
Ta  0.0000  0.0000  0.0000
Ta  0.0000  0.5000  0.5000
Al  0.0000  0.1267  0.6267
Al  0.0000  0.8733  0.3733
Al  0.0000  0.6267  0.8733
Al  0.0000  0.3733  0.1267
Ru  0.5000  0.1991  0.0674
Ru  0.5000  0.8009  0.9326
Ru  0.5000  0.0674  0.8009
Ru  0.5000  0.6991  0.4326
Ru  0.5000  0.9326  0.1991
Ru  0.5000  0.3009  0.5674
Ru  0.5000  0.5674  0.6991
Ru  0.5000  0.4326  0.3009
Ru  0.5000  0.5000  0.0000
Ru  0.5000  0.0000  0.5000

Entry 11:
A plane-wave DFT calculation with GGA-PBE was carried out for crystalline Be2TeCl at its relaxed geometry.

Computed properties:
The raw total energy is -3.00 eV/atom. The value obtained for the energy relative to the elements, uncorrected is 0.106 eV/atom. As for the magnetic moment: 0.00 μB/atom. Its space-group type is No. 44.

a b c (Å): 6.5811 6.5811 6.5811
angles (deg): 153.95 96.60 89.24
Fractional coordinates of all 4 atoms:
Be  0.9632  0.9632  0.0000
Be  0.7544  0.2544  0.5000
Te  0.1730  0.6730  0.5000
Cl  0.6094  0.6094  0.0000

Entry 12:
A plane-wave DFT calculation with GGA-PBE was carried out for crystalline PrGa4Ru2Pt at its relaxed geometry.

Computed properties:
The raw total energy is -5.66 eV/atom. As for the magnetic moment: 0.00 μB/atom. The value obtained for the energy relative to the elements is -0.479 eV per atom. Its space-group type is No. 166.

a b c (Å): 4.2902 4.2902 9.1750
angles (deg): 76.48 76.48 60.00
Fractional coordinates of all 8 atoms:
Pr  0.0000  0.0000  0.0000
Ga  0.4014  0.4014  0.7959
Ga  0.8713  0.8713  0.3860
Ga  0.1287  0.1287  0.6140
Ga  0.5986  0.5986  0.2041
Ru  0.7696  0.7696  0.6913
Ru  0.2304  0.2304  0.3087
Pt  0.5000  0.5000  0.5000

Entry 13:
A plane-wave DFT calculation with GGA-PBE was carried out for crystalline BaCu3Hg at its relaxed geometry.

Computed properties:
The raw total energy is -1.68 eV/atom. As for the magnetic moment: 0.00 μB/atom. The value obtained for the energy relative to the elements is 1.220 eV per atom. Its space-group type is No. 221.

a b c (Å): 5.8958 5.8958 5.8958
angles (deg): 90.00 90.00 90.00
Fractional coordinates of all 5 atoms:
Hg  0.5000  0.5000  0.5000
Cu  0.0000  0.5000  0.0000
Cu  0.0000  0.0000  0.5000
Cu  0.5000  0.0000  0.0000
Ba  0.0000  0.0000  0.0000

Entry 14:
A plane-wave DFT calculation with GGA-PBE was carried out for crystalline RbCr2Pt at its relaxed geometry.

Computed properties:
The raw total energy is -5.70 eV/atom. As for the magnetic moment: 2.18 μB/atom. The value obtained for the energy relative to the elements is 0.862 eV per atom. Its space-group type is No. 141.

a b c (Å): 5.6896 5.6896 9.2189
angles (deg): 72.03 72.03 90.00
Fractional coordinates of all 8 atoms:
Cr  0.8745  0.1250  0.2500
Cr  0.8755  0.6250  0.2500
Cr  0.3750  0.1255  0.7500
Cr  0.8750  0.1245  0.7500
Rb  0.5000  0.5000  0.0000
Rb  0.2500  0.7500  0.5000
Pt  0.0000  0.0000  0.0000
Pt  0.7500  0.2500  0.5000

Entry 15:
A plane-wave DFT calculation with GGA-PBE was carried out for crystalline YCu2Sn at its relaxed geometry.

Computed properties:
The raw total energy is -4.70 eV/atom. As for the magnetic moment: 0.00 μB/atom. The value obtained for the energy relative to the elements is -0.036 eV per atom. Its space-group type is No. 122.

a b c (Å): 4.5142 4.5142 9.4285
angles (deg): 76.15 76.15 90.00
Fractional coordinates of all 8 atoms:
Y  0.5000  0.5000  0.0000
Y  0.2500  0.7500  0.5000
Sn  0.0000  0.0000  0.0000
Sn  0.7500  0.2500  0.5000
Cu  0.7598  0.1250  0.2500
Cu  0.9902  0.6250  0.2500
Cu  0.3750  0.2402  0.7500
Cu  0.8750  0.0098  0.7500

Entry 16:
A plane-wave DFT calculation with GGA-PBE was carried out for crystalline Ba6Ge5N2 at its relaxed geometry.

Computed properties:
The raw total energy is -4.54 eV/atom. The value obtained for the energy relative to the elements, uncorrected is -0.591 eV/atom. As for the magnetic moment: 0.00 μB/atom. Its space-group type is No. 59.

a b c (Å): 4.2383 9.7325 19.0633
angles (deg): 90.00 90.00 90.00
Fractional coordinates of all 26 atoms:
Ba  0.5000  0.7561  0.5000
Ba  0.0000  0.2439  0.0000
Ba  0.5000  0.1128  0.6832
Ba  0.5000  0.5343  0.1394
Ba  0.0000  0.4657  0.6394
Ba  0.0000  0.4657  0.3606
Ba  0.5000  0.5343  0.8606
Ba  0.5000  0.8428  0.0000
Ba  0.5000  0.1128  0.3168
Ba  0.0000  0.8872  0.8168
Ba  0.0000  0.8872  0.1832
Ba  0.0000  0.1572  0.5000
Ge  0.5000  0.7403  0.3073
Ge  0.0000  0.8466  0.3680
Ge  0.0000  0.2597  0.1927
Ge  0.5000  0.1534  0.1320
Ge  0.0000  0.8466  0.6320
Ge  0.5000  0.7403  0.6927
Ge  0.0000  0.2597  0.8073
Ge  0.0000  0.5882  0.0000
Ge  0.5000  0.1534  0.8680
Ge  0.5000  0.4118  0.5000
N  0.5000  0.2940  0.4196
N  0.5000  0.2940  0.5804
N  0.0000  0.7060  0.9196
N  0.0000  0.7060  0.0804

Entry 17:
A plane-wave DFT calculation with GGA-PBE was carried out for crystalline Hf3HN2 at its relaxed geometry.

Computed properties:
The raw total energy is -9.43 eV/atom. As for the magnetic moment: 0.00 μB/atom. Its space-group type is No. 63.

a b c (Å): 4.5430 6.3760 6.3760
angles (deg): 119.79 90.00 90.00
Fractional coordinates of all 12 atoms:
Hf  0.9928  0.8332  0.4981
Hf  0.4928  0.5019  0.1668
Hf  0.9928  0.4981  0.8332
Hf  0.4928  0.1668  0.5019
Hf  0.4929  0.8480  0.8480
Hf  0.9929  0.1520  0.1520
H  0.9937  0.8239  0.8239
H  0.4937  0.1761  0.1761
N  0.4928  0.8341  0.5025
N  0.9928  0.4975  0.1659
N  0.4928  0.5025  0.8341
N  0.9928  0.1659  0.4975

Entry 18:
A plane-wave DFT calculation with GGA-PBE was carried out for crystalline TiSiMoRh at its relaxed geometry.

Computed properties:
The raw total energy is -8.42 eV/atom. The value obtained for the energy relative to the elements, uncorrected is -0.550 eV/atom. As for the magnetic moment: 0.00 μB/atom. Its space-group type is No. 216.

a b c (Å): 4.3200 4.3200 4.3200
angles (deg): 60.00 60.00 60.00
Fractional coordinates of all 4 atoms:
Mo  0.2500  0.2500  0.2500
Rh  0.7500  0.7500  0.7500
Si  0.5000  0.5000  0.5000
Ti  0.0000  0.0000  0.0000

Entry 19:
A plane-wave DFT calculation with GGA-PBE was carried out for crystalline Pu3NpAs4 at its relaxed geometry.

Computed properties:
The raw total energy is -10.21 eV/atom. As for the magnetic moment: 1.42 μB/atom. The value obtained for the energy relative to the elements is -0.894 eV per atom. Its space-group type is No. 221.

a b c (Å): 5.8357 5.8357 5.8357
angles (deg): 90.00 90.00 90.00
Fractional coordinates of all 8 atoms:
Np  0.0000  0.0000  0.0000
As  0.5000  0.0000  0.0000
As  0.0000  0.5000  0.0000
As  0.0000  0.0000  0.5000
As  0.5000  0.5000  0.5000
Pu  0.0000  0.5000  0.5000
Pu  0.5000  0.0000  0.5000
Pu  0.5000  0.5000  0.0000

Entry 20:
A plane-wave DFT calculation with GGA-PBE was carried out for crystalline ZrCoH4 at its relaxed geometry.

Computed properties:
The raw total energy is -5.04 eV/atom. As for the magnetic moment: 0.00 μB/atom. Its space-group type is No. 15.

a b c (Å): 5.1893 5.7352 4.6882
angles (deg): 106.99 101.55 125.26
Fractional coordinates of all 12 atoms:
Zr  0.3762  0.6262  0.2523
Zr  0.6238  0.3738  0.7477
Co  0.2798  0.0298  0.0597
Co  0.7202  0.9702  0.9403
H  0.9089  0.2394  0.8122
H  0.8790  0.8316  0.7343
H  0.4034  0.5728  0.8122
H  0.3553  0.9027  0.7343
H  0.6447  0.0973  0.2657
H  0.5966  0.4272  0.1878
H  0.1210  0.1684  0.2657
H  0.0911  0.7606  0.1878